Record 1
## PuNiAu11 (PBE-GGA)

Data for an optimized crystal structure of PuNiAu11.

Its energy relative to the elements is -9.2 kJ/mol of atoms. The calculation puts the density of states at the Fermi level at 44.26 states/eV per cell. The magnetization comes out at 0.4260 μB per atom.

The space group is C2/m (No. 12) and the conventional cell measures 5.550, 13.606 and 7.149 Å, with angles of 90.00, 112.57 and 90.00 degrees. The inequivalent atoms are Pu at (0.000, 0.000, 0.000), Ni at (0.000, 0.000, 0.500), Au at (0.000, 0.500, 0.500), Au at (0.120, 0.396, 0.217), Au at (0.161, 0.167, 0.355) and Au at (0.250, 0.250, 0.000).

Record 2
## PuNiRuAu (PBE-GGA)

Data for an optimized crystal structure of PuNiRuAu.

Its energy relative to the elements is -4.5 kJ/mol of atoms. The calculation puts the density of states at the Fermi level at 17.40 states/eV per cell. The magnetization comes out at 0.9727 μB per atom.

The space group is F-43m (No. 216) and the conventional cell measures 6.475, 6.475 and 6.475 Å, with angles of 90.00, 90.00 and 90.00 degrees. The inequivalent atoms are Pu at (0.000, 0.000, 0.000), Ni at (0.250, 0.250, 0.750), Ru at (0.250, 0.250, 0.250) and Au at (0.000, 0.000, 0.500).

Record 3
## Pu2Ni4Sb3Au (PBE-GGA)

Data for an optimized crystal structure of Pu2Ni4Sb3Au.

The calculation puts the density of states at the Fermi level at 30.74 states/eV per cell. The total DFT energy (no corrections) comes out at -7.13 eV/atom. The magnetization comes out at 1.0743 μB per atom.

The space group is P-4m2 (No. 115) and the conventional cell measures 4.358, 4.358 and 10.143 Å, with angles of 90.00, 90.00 and 90.00 degrees. The inequivalent atoms are Pu at (0.000, 0.500, 0.247), Ni at (0.000, 0.000, 0.000), Ni at (0.000, 0.500, 0.630), Ni at (0.500, 0.500, 0.000), Sb at (0.000, 0.500, 0.871), Sb at (0.500, 0.500, 0.500) and Au at (0.000, 0.000, 0.500).

Record 4
## PuScNiAu (PBE-GGA)

Data for an optimized crystal structure of PuScNiAu.

Its energy relative to the elements is -28.2 kJ/mol of atoms. The calculation puts the density of states at the Fermi level at 50.71 states/eV per cell. The magnetization comes out at 1.3817 μB per atom.

The space group is F-43m (No. 216) and the conventional cell measures 6.862, 6.862 and 6.862 Å, with angles of 90.00, 90.00 and 90.00 degrees. The inequivalent atoms are Pu at (0.000, 0.000, 0.000), Sc at (0.000, 0.000, 0.500), Ni at (0.250, 0.250, 0.250) and Au at (0.250, 0.250, 0.750).

Record 5
## PuThNiAu (PBE-GGA)

Data for an optimized crystal structure of PuThNiAu.

Its energy relative to the elements is -24.9 kJ/mol of atoms. The calculation puts the density of states at the Fermi level at 45.78 states/eV per cell. The magnetization comes out at 1.4569 μB per atom.

The space group is F-43m (No. 216) and the conventional cell measures 7.163, 7.163 and 7.163 Å, with angles of 90.00, 90.00 and 90.00 degrees. The inequivalent atoms are Pu at (0.000, 0.000, 0.000), Th at (0.000, 0.000, 0.500), Ni at (0.250, 0.250, 0.750) and Au at (0.250, 0.250, 0.250).

Record 6
## RbNi2Au (PBE-GGA)

Data for an optimized crystal structure of RbNi2Au.

Its energy relative to the elements is 46.7 kJ/mol of atoms. The calculation puts the density of states at the Fermi level at 23.17 states/eV per cell. The magnetization comes out at 0.4023 μB per atom.

The space group is I4_1/amd (No. 141, origin choice 2) and the conventional cell measures 4.825, 4.825 and 17.727 Å, with angles of 90.00, 90.00 and 90.00 degrees. The inequivalent atoms are Rb at (0.000, 0.250, 0.375), Ni at (0.000, 0.000, 0.000) and Au at (0.000, 0.250, 0.875).

Record 7
## RbNi2Au (PBE-GGA)

Data for an optimized crystal structure of RbNi2Au.

Its energy relative to the elements is 85.0 kJ/mol of atoms. The calculation puts the density of states at the Fermi level at 2.48 states/eV per cell. The magnetization comes out at 0.0000 μB per atom.

The space group is Fm-3m (No. 225) and the conventional cell measures 6.631, 6.631 and 6.631 Å, with angles of 90.00, 90.00 and 90.00 degrees. The inequivalent atoms are Rb at (0.000, 0.000, 0.000), Ni at (0.250, 0.250, 0.250) and Au at (0.000, 0.000, 0.500).

Record 8
## RbNi2Au2 (PBE-GGA)

Data for an optimized crystal structure of RbNi2Au2.

Its energy relative to the elements is 25.3 kJ/mol of atoms. The calculation puts the density of states at the Fermi level at 17.60 states/eV per cell. The magnetization comes out at 0.1989 μB per atom.

The space group is P4/mbm (No. 127) and the conventional cell measures 8.088, 8.088 and 2.847 Å, with angles of 90.00, 90.00 and 90.00 degrees. The inequivalent atoms are Rb at (0.000, 0.000, 0.000), Ni at (0.107, 0.393, 0.000) and Au at (0.180, 0.680, 0.500).

Record 9
## RbNi2Au2 (PBE-GGA)

Data for an optimized crystal structure of RbNi2Au2.

Its energy relative to the elements is 34.8 kJ/mol of atoms. The calculation puts the density of states at the Fermi level at 8.07 states/eV per cell. The magnetization comes out at 0.1378 μB per atom.

The space group is I4/mmm (No. 139) and the conventional cell measures 4.570, 4.570 and 9.958 Å, with angles of 90.00, 90.00 and 90.00 degrees. The inequivalent atoms are Rb at (0.000, 0.000, 0.000), Ni at (0.000, 0.000, 0.379) and Au at (0.000, 0.500, 0.250).

Record 10
## RbReNi2Au (PBE-GGA)

Data for an optimized crystal structure of RbReNi2Au.

Its energy relative to the elements is 94.1 kJ/mol of atoms. The calculation puts the density of states at the Fermi level at 6.09 states/eV per cell. The magnetization comes out at 0.0000 μB per atom.

The space group is P4/mmm (No. 123) and the conventional cell measures 4.676, 4.676 and 5.244 Å, with angles of 90.00, 90.00 and 90.00 degrees. The inequivalent atoms are Rb at (0.000, 0.000, 0.000), Re at (0.500, 0.500, 0.500), Ni at (0.000, 0.500, 0.500) and Au at (0.500, 0.500, 0.000).

Record 11
## Rb2NiSnAu (PBE-GGA)

Data for an optimized crystal structure of Rb2NiSnAu.

Its energy relative to the elements is 32.5 kJ/mol of atoms. The calculation puts the density of states at the Fermi level at 3.93 states/eV per cell. The magnetization comes out at 0.0000 μB per atom.

The space group is P4/mmm (No. 123) and the conventional cell measures 6.994, 6.994 and 4.711 Å, with angles of 90.00, 90.00 and 90.00 degrees. The inequivalent atoms are Rb at (0.000, 0.500, 0.000), Ni at (0.000, 0.000, 0.500), Sn at (0.000, 0.000, 0.000) and Au at (0.500, 0.500, 0.500).

Record 12
## Rb2SrNiAu (PBE-GGA)

Data for an optimized crystal structure of Rb2SrNiAu.

Its energy relative to the elements is 32.4 kJ/mol of atoms. The calculation puts the density of states at the Fermi level at 5.39 states/eV per cell. The magnetization comes out at 0.0000 μB per atom.

The space group is P4/mmm (No. 123) and the conventional cell measures 6.132, 6.132 and 5.688 Å, with angles of 90.00, 90.00 and 90.00 degrees. The inequivalent atoms are Rb at (0.000, 0.500, 0.000), Sr at (0.000, 0.000, 0.500), Ni at (0.000, 0.000, 0.000) and Au at (0.500, 0.500, 0.500).

- Which value of magnetization does entry 1 give?
  0.4260 μB per atom